# AcInPtAu

An optimized crystal structure of AcInPtAu (PBE-GGA, the Alexandria database).

Geometry as CIF:
```
data_AcInPtAu
_cell_length_a 8.276
_cell_length_b 4.770
_cell_length_c 5.775
_cell_angle_alpha 90.00
_cell_angle_beta 118.52
_cell_angle_gamma 90.00
_space_group_name_H-M_alt 'C 1 m 1'
_space_group_IT_number 8
loop_
_space_group_symop_operation_xyz
'x,y,z'
'x,-y,z'
'x+1/2,y+1/2,z'
'x+1/2,-y+1/2,z'
loop_
_atom_site_label
_atom_site_fract_x
_atom_site_fract_y
_atom_site_fract_z
Ac1 0.000 0.000 0.000
In1 0.015 0.500 0.546
Pt1 0.212 0.000 0.635
Au1 0.284 0.500 0.351
```

Computed properties:
Energy above the lowest structure with this stoichiometry (meV/atom): 0
Spin magnetization (μB per cell): 0.0
Formation energy from the elements (eV per atom): -0.769
DFT total energy (eV per atom): -4.810